Density functional theory data (PBE) for crystalline Li2SbF at its relaxed geometry.

Values from the calculation:
The calculation puts the calculated total energy at -16.2 eV/f.u. For the formation energy from raw total energies, the calculation gives -1.584 eV per atom.

Cell and atoms, written as POSCAR:
```
Li2SbF
1.0
-2.784 -1.259 0.962
-1.990 -1.310 -2.141
1.465 -6.943 0.489
F Li Sb
1 2 1
Direct
0.000 0.000 0.000
0.721 0.721 0.837
0.279 0.279 0.163
0.500 0.500 0.500
```